--- a ---
Below is an optimized crystal structure of CuAg2Au, with properties calculated at the PBEsol level.

Structure (CIF):
```
data_CuAg2Au
_chemical_formula_sum 'Cu1 Ag2 Au1'
_symmetry_space_group_name_H-M 'P 1'
_symmetry_Int_Tables_number 1
_cell_length_a 2.835
_cell_length_b 2.835
_cell_length_c 9.064
_cell_angle_alpha 80.91
_cell_angle_beta 80.91
_cell_angle_gamma 60.20
loop_
_symmetry_equiv_pos_as_xyz
'x,y,z'
loop_
_atom_site_label
_atom_site_type_symbol
_atom_site_fract_x
_atom_site_fract_y
_atom_site_fract_z
Au1 Au 0.505 0.505 0.484
Cu1 Cu 0.250 0.250 0.250
Ag1 Ag 0.995 0.995 0.015
Ag2 Ag 0.749 0.749 0.751
```

Properties
The calculation puts the density of states at the Fermi level at 1.5 states/eV/f.u. For the total moment, the calculation gives 0.00 μB per formula unit. The crystal system is monoclinic.

***

--- b ---
Below is an optimized crystal structure of CuAg2Au, with properties calculated at the PBEsol level.

Structure (CIF):
```
data_CuAg2Au
_chemical_formula_sum 'Cu1 Ag2 Au1'
_symmetry_space_group_name_H-M 'P 1'
_symmetry_Int_Tables_number 1
_cell_length_a 2.809
_cell_length_b 4.782
_cell_length_c 4.908
_cell_angle_alpha 101.75
_cell_angle_beta 106.63
_cell_angle_gamma 90.00
loop_
_symmetry_equiv_pos_as_xyz
'x,y,z'
loop_
_atom_site_label
_atom_site_type_symbol
_atom_site_fract_x
_atom_site_fract_y
_atom_site_fract_z
Au1 Au 0.000 0.500 0.000
Cu1 Cu 0.500 0.000 0.000
Ag1 Ag 0.242 0.242 0.484
Ag2 Ag 0.758 0.758 0.516
```

Properties
The calculation puts the density of states at the Fermi level at 1.1 states/eV/f.u. For the total moment, the calculation gives 0.00 μB per formula unit. The crystal system is monoclinic.

***

Stability summary: most stable b, least stable a.

***

--- a ---
Below is an optimized crystal structure of CuAg2Au, with properties calculated at the PBEsol level.

Structure (CIF):
```
data_CuAg2Au
_chemical_formula_sum 'Cu1 Ag2 Au1'
_symmetry_space_group_name_H-M 'P 1'
_symmetry_Int_Tables_number 1
_cell_length_a 2.809
_cell_length_b 4.845
_cell_length_c 4.871
_cell_angle_alpha 101.56
_cell_angle_beta 90.00
_cell_angle_gamma 106.85
loop_
_symmetry_equiv_pos_as_xyz
'x,y,z'
loop_
_atom_site_label
_atom_site_type_symbol
_atom_site_fract_x
_atom_site_fract_y
_atom_site_fract_z
Au1 Au 0.509 0.018 0.513
Cu1 Cu 0.249 0.498 0.745
Ag1 Ag 0.991 0.983 0.996
Ag2 Ag 0.750 0.501 0.246
```

Properties
The calculation puts the density of states at the Fermi level at 1.0 states/eV/f.u. For the total moment, the calculation gives 0.00 μB per formula unit. The crystal system is monoclinic.

***

--- b ---
Below is an optimized crystal structure of CuAg2Au, with properties calculated at the PBEsol level.

Structure (CIF):
```
data_CuAg2Au
_chemical_formula_sum 'Cu1 Ag2 Au1'
_symmetry_space_group_name_H-M 'P 1'
_symmetry_Int_Tables_number 1
_cell_length_a 3.925
_cell_length_b 3.925
_cell_length_c 4.013
_cell_angle_alpha 90.00
_cell_angle_beta 90.00
_cell_angle_gamma 90.00
loop_
_symmetry_equiv_pos_as_xyz
'x,y,z'
loop_
_atom_site_label
_atom_site_type_symbol
_atom_site_fract_x
_atom_site_fract_y
_atom_site_fract_z
Au1 Au 0.500 0.500 0.500
Cu1 Cu 0.000 0.000 0.500
Ag1 Ag 0.000 0.500 0.000
Ag2 Ag 0.500 0.000 0.000
```

Properties
The calculation puts the density of states at the Fermi level at 1.2 states/eV/f.u. For the total moment, the calculation gives 0.00 μB per formula unit. The crystal system is tetragonal.

***

Stability summary: most stable b, least stable a.

***

--- a ---
Below is an optimized crystal structure of CuAgAu, with properties calculated at the PBEsol level.

Structure (CIF):
```
data_CuAgAu
_chemical_formula_sum 'Cu1 Ag1 Au1'
_symmetry_space_group_name_H-M 'P 1'
_symmetry_Int_Tables_number 1
_cell_length_a 2.797
_cell_length_b 3.739
_cell_length_c 4.910
_cell_angle_alpha 112.38
_cell_angle_beta 106.55
_cell_angle_gamma 90.00
loop_
_symmetry_equiv_pos_as_xyz
'x,y,z'
loop_
_atom_site_label
_atom_site_type_symbol
_atom_site_fract_x
_atom_site_fract_y
_atom_site_fract_z
Au1 Au 0.675 0.675 0.349
Ag1 Ag 0.993 0.993 0.987
Cu1 Cu 0.332 0.332 0.664
```

Properties
The calculation puts the density of states at the Fermi level at 0.8 states/eV/f.u. For the total moment, the calculation gives 0.00 μB per formula unit. The crystal system is orthorhombic.

***

--- b ---
Below is an optimized crystal structure of CuAgAu, with properties calculated at the PBEsol level.

Structure (CIF):
```
data_CuAgAu
_chemical_formula_sum 'Cu1 Ag1 Au1'
_symmetry_space_group_name_H-M 'P 1'
_symmetry_Int_Tables_number 1
_cell_length_a 4.275
_cell_length_b 4.275
_cell_length_c 4.275
_cell_angle_alpha 60.00
_cell_angle_beta 60.00
_cell_angle_gamma 60.00
loop_
_symmetry_equiv_pos_as_xyz
'x,y,z'
loop_
_atom_site_label
_atom_site_type_symbol
_atom_site_fract_x
_atom_site_fract_y
_atom_site_fract_z
Ag1 Ag 0.500 0.500 0.500
Au1 Au 0.250 0.250 0.250
Cu1 Cu 0.000 0.000 0.000
```

Properties
The calculation puts the density of states at the Fermi level at 0.9 states/eV/f.u. For the total moment, the calculation gives 0.00 μB per formula unit. The crystal system is cubic.

***

--- c ---
Below is an optimized crystal structure of CuAgAu, with properties calculated at the PBEsol level.

Structure (CIF):
```
data_CuAgAu
_chemical_formula_sum 'Cu1 Ag1 Au1'
_symmetry_space_group_name_H-M 'P 1'
_symmetry_Int_Tables_number 1
_cell_length_a 2.752
_cell_length_b 4.369
_cell_length_c 4.369
_cell_angle_alpha 120.00
_cell_angle_beta 90.00
_cell_angle_gamma 90.00
loop_
_symmetry_equiv_pos_as_xyz
'x,y,z'
loop_
_atom_site_label
_atom_site_type_symbol
_atom_site_fract_x
_atom_site_fract_y
_atom_site_fract_z
Au1 Au 0.609 0.667 0.333
Ag1 Ag 0.038 0.000 0.000
Cu1 Cu 0.353 0.333 0.667
```

Properties
The calculation puts the density of states at the Fermi level at 0.8 states/eV/f.u. For the total moment, the calculation gives 0.00 μB per formula unit. The crystal system is trigonal.

***

--- d ---
Below is an optimized crystal structure of CuAgAu, with properties calculated at the PBEsol level.

Structure (CIF):
```
data_CuAgAu
_chemical_formula_sum 'Cu1 Ag1 Au1'
_symmetry_space_group_name_H-M 'P 1'
_symmetry_Int_Tables_number 1
_cell_length_a 2.804
_cell_length_b 2.804
_cell_length_c 6.056
_cell_angle_alpha 103.38
_cell_angle_beta 103.38
_cell_angle_gamma 90.00
loop_
_symmetry_equiv_pos_as_xyz
'x,y,z'
loop_
_atom_site_label
_atom_site_type_symbol
_atom_site_fract_x
_atom_site_fract_y
_atom_site_fract_z
Au1 Au 0.677 0.677 0.353
Ag1 Ag 0.990 0.990 0.981
Cu1 Cu 0.333 0.333 0.666
```

Properties
The calculation puts the density of states at the Fermi level at 0.8 states/eV/f.u. For the total moment, the calculation gives 0.00 μB per formula unit. The crystal system is tetragonal.

***

Stability summary: most stable d, least stable b.

***

--- a ---
Below is an optimized crystal structure of FeAgAu2, with properties calculated at the PBEsol level.

Structure (CIF):
```
data_FeAgAu2
_chemical_formula_sum 'Fe1 Ag1 Au2'
_symmetry_space_group_name_H-M 'P 1'
_symmetry_Int_Tables_number 1
_cell_length_a 2.801
_cell_length_b 4.732
_cell_length_c 5.503
_cell_angle_alpha 115.46
_cell_angle_beta 104.75
_cell_angle_gamma 90.00
loop_
_symmetry_equiv_pos_as_xyz
'x,y,z'
loop_
_atom_site_label
_atom_site_type_symbol
_atom_site_fract_x
_atom_site_fract_y
_atom_site_fract_z
Ag1 Ag 0.238 0.738 0.477
Au1 Au 0.002 0.002 0.004
Au2 Au 0.764 0.264 0.528
Fe1 Fe 0.496 0.496 0.992
```

Properties
The calculation puts the density of states at the Fermi level at 3.0 states/eV/f.u. For the total moment, the calculation gives 2.97 μB per formula unit. The crystal system is orthorhombic.

***

--- b ---
Below is an optimized crystal structure of FeAgAu2, with properties calculated at the PBEsol level.

Structure (CIF):
```
data_FeAgAu2
_chemical_formula_sum 'Fe1 Ag1 Au2'
_symmetry_space_group_name_H-M 'P 1'
_symmetry_Int_Tables_number 1
_cell_length_a 2.786
_cell_length_b 4.767
_cell_length_c 4.767
_cell_angle_alpha 90.00
_cell_angle_beta 90.00
_cell_angle_gamma 90.00
loop_
_symmetry_equiv_pos_as_xyz
'x,y,z'
loop_
_atom_site_label
_atom_site_type_symbol
_atom_site_fract_x
_atom_site_fract_y
_atom_site_fract_z
Ag1 Ag 0.500 0.000 0.000
Au1 Au 0.000 0.000 0.500
Au2 Au 0.000 0.500 0.000
Fe1 Fe 0.500 0.500 0.500
```

Properties
The calculation puts the density of states at the Fermi level at 2.6 states/eV/f.u. For the total moment, the calculation gives 2.92 μB per formula unit. The crystal system is tetragonal.

***

--- c ---
Below is an optimized crystal structure of FeAgAu2, with properties calculated at the PBEsol level.

Structure (CIF):
```
data_FeAgAu2
_chemical_formula_sum 'Fe1 Ag1 Au2'
_symmetry_space_group_name_H-M 'P 1'
_symmetry_Int_Tables_number 1
_cell_length_a 2.782
_cell_length_b 4.875
_cell_length_c 4.877
_cell_angle_alpha 99.32
_cell_angle_beta 106.57
_cell_angle_gamma 90.00
loop_
_symmetry_equiv_pos_as_xyz
'x,y,z'
loop_
_atom_site_label
_atom_site_type_symbol
_atom_site_fract_x
_atom_site_fract_y
_atom_site_fract_z
Ag1 Ag 0.755 0.249 0.510
Au1 Au 0.000 0.008 0.000
Au2 Au 0.243 0.732 0.487
Fe1 Fe 0.502 0.511 0.003
```

Properties
The calculation puts the density of states at the Fermi level at 2.6 states/eV/f.u. For the total moment, the calculation gives 3.05 μB per formula unit. The crystal system is monoclinic.

***

Stability summary: most stable c, least stable a.